No. 1
Below is a relaxed structure of RbFeRh3, with properties calculated at the PBE-GGA level.

Its energy of formation from the pure elements is 1.005 eV per atom. As for the offset from the most stable computed form: 0.00 eV/f.u.

It has space group Pm-3m (No. 221), with a = 4.6207 Å, b = 4.6207 Å, c = 4.6207 Å, α = 90.00°, β = 90.00° and γ = 90.00°. The inequivalent atoms are Rb at (0.0000, 0.0000, 0.0000), Fe at (0.5000, 0.5000, 0.5000) and Rh at (0.0000, 0.5000, 0.5000).


No. 2
Below is a relaxed structure of RbFeRh, with properties calculated at the PBE-GGA level.

Its energy of formation from the pure elements is 0.529 eV per atom. As for the offset from the most stable computed form: 0.43 eV/f.u.

It has space group P1 (No. 1), with a = 3.8830 Å, b = 3.8840 Å, c = 12.3065 Å, α = 98.63°, β = 90.34° and γ = 119.99°. The inequivalent atoms are Rb at (0.0000, 0.0000, 0.0000), Rb at (0.2127, 0.4018, 0.6210), Fe at (0.1058, 0.1997, 0.3105), Fe at (0.7724, 0.5329, 0.3105), Rh at (0.4023, 0.7969, 0.2028) and Rh at (0.4759, 0.9360, 0.4183).


No. 3
Below is a relaxed structure of RbFe3Rh, with properties calculated at the PBE-GGA level.

Its energy of formation from the pure elements is 2.659 eV per atom.

It has space group Pm-3m (No. 221), with a = 4.5204 Å, b = 4.5204 Å, c = 4.5204 Å, α = 90.00°, β = 90.00° and γ = 90.00°. The inequivalent atoms are Rb at (0.0000, 0.0000, 0.0000), Fe at (0.0000, 0.0000, 0.5000) and Rh at (0.5000, 0.5000, 0.5000).


No. 4
Below is a relaxed structure of RbFeRh3, with properties calculated at the PBE-GGA level.

Its energy of formation from the pure elements is 2.518 eV per atom. As for the offset from the most stable computed form: 7.56 eV/f.u.

It has space group Pm-3m (No. 221), with a = 4.7725 Å, b = 4.7725 Å, c = 4.7725 Å, α = 90.00°, β = 90.00° and γ = 90.00°. The inequivalent atoms are Rb at (0.0000, 0.0000, 0.0000), Fe at (0.5000, 0.5000, 0.5000) and Rh at (0.0000, 0.0000, 0.5000).


No. 5
Below is a relaxed structure of RbFeRh, with properties calculated at the PBE-GGA level.

Its energy of formation from the pure elements is 0.743 eV per atom. As for the offset from the most stable computed form: 1.07 eV/f.u.

It has space group P6_3/mmc (No. 194), with a = 4.0867 Å, b = 4.0867 Å, c = 11.4916 Å, α = 90.00°, β = 90.00° and γ = 120.00°. The inequivalent atoms are Rb at (0.0000, 0.0000, 0.0000), Fe at (0.3333, 0.6667, 0.2500) and Rh at (0.3333, 0.6667, 0.7500).


No. 6
Below is a relaxed structure of RbFeRh, with properties calculated at the PBE-GGA level.

Its energy of formation from the pure elements is 1.320 eV per atom. As for the offset from the most stable computed form: 2.80 eV/f.u.

It has space group F-43m (No. 216), with a = 6.6016 Å, b = 6.6016 Å, c = 6.6016 Å, α = 90.00°, β = 90.00° and γ = 90.00°. The inequivalent atoms are Rb at (0.0000, 0.0000, 0.0000), Fe at (0.0000, 0.0000, 0.5000) and Rh at (0.2500, 0.2500, 0.7500).


No. 7
Below is a relaxed structure of RbFeRh, with properties calculated at the PBE-GGA level.

Its energy of formation from the pure elements is 1.408 eV per atom. As for the offset from the most stable computed form: 3.06 eV/f.u.

It has space group P6_3/mmc (No. 194), with a = 5.9846 Å, b = 5.9846 Å, c = 9.0881 Å, α = 90.00°, β = 90.00° and γ = 120.00°. The inequivalent atoms are Rb at (0.3333, 0.6667, 0.2500), Fe at (0.0000, 0.0000, 0.2500) and Rh at (0.0000, 0.0000, 0.0000).


No. 8
Below is a relaxed structure of RbFeRh, with properties calculated at the PBE-GGA level.

Its energy of formation from the pure elements is 0.461 eV per atom. As for the offset from the most stable computed form: 0.22 eV/f.u.

It has space group Cmcm (No. 63), with a = 4.4162 Å, b = 12.8985 Å, c = 5.0169 Å, α = 90.00°, β = 90.00° and γ = 90.00°. The inequivalent atoms are Rb at (0.0000, 0.2214, 0.2500), Fe at (0.0000, 0.5000, 0.0000) and Rh at (0.0000, 0.0269, 0.7500).


No. 9
Below is a relaxed structure of RbFeRh, with properties calculated at the PBE-GGA level.

Its energy of formation from the pure elements is 0.419 eV per atom. As for the offset from the most stable computed form: 0.10 eV/f.u.

It has space group P4/nmm (No. 129, origin choice 2), with a = 4.1458 Å, b = 4.1458 Å, c = 10.1754 Å, α = 90.00°, β = 90.00° and γ = 90.00°. The inequivalent atoms are Rb at (0.2500, 0.2500, 0.1897), Fe at (0.2500, 0.7500, 0.5000) and Rh at (0.2500, 0.2500, 0.6301).


No. 10
Below is a relaxed structure of Rb3FeRh, with properties calculated at the PBE-GGA level.

Its energy of formation from the pure elements is 1.181 eV per atom.

It has space group Pm-3m (No. 221), with a = 6.2525 Å, b = 6.2525 Å, c = 6.2525 Å, α = 90.00°, β = 90.00° and γ = 90.00°. The inequivalent atoms are Rb at (0.0000, 0.0000, 0.5000), Fe at (0.5000, 0.5000, 0.5000) and Rh at (0.0000, 0.0000, 0.0000).


No. 11
Below is a relaxed structure of RbFeRh, with properties calculated at the PBE-GGA level.

Its energy of formation from the pure elements is 0.387 eV per atom. As for the offset from the most stable computed form: 0.00 eV/f.u.

It has space group P1 (No. 1), with a = 3.1456 Å, b = 4.1505 Å, c = 12.6191 Å, α = 90.15°, β = 96.71° and γ = 90.00°. The inequivalent atoms are Rb at (0.0000, 0.0000, 0.0000), Rb at (0.2982, 0.5052, 0.6444), Fe at (0.1089, 0.4970, 0.2394), Fe at (0.1866, 0.9984, 0.4050), Rh at (0.6107, 0.9969, 0.2423) and Rh at (0.6852, 0.4983, 0.4021).


No. 12
Below is a relaxed structure of RbFeRuRh2, with properties calculated at the PBE-GGA level.

Its energy of formation from the pure elements is 1.773 eV per atom.

It has space group P4/mmm (No. 123), with a = 4.7303 Å, b = 4.7303 Å, c = 5.3955 Å, α = 90.00°, β = 90.00° and γ = 90.00°. The inequivalent atoms are Rb at (0.0000, 0.0000, 0.0000), Fe at (0.5000, 0.5000, 0.0000), Ru at (0.0000, 0.0000, 0.5000) and Rh at (0.0000, 0.5000, 0.5000).